Record 1
Below is an optimized crystal structure of ScMnN2O, with properties calculated at the PBE with a Hubbard U level.

Cell: 3.751 3.751 3.751 Å, 90.00 90.00 90.00°
Space group P4/mmm (No. 123)
Unique sites:
1 Sc 0.000 0.000 0.000 x1
2 Mn 0.500 0.500 0.500 x1
3 N 0.000 0.500 0.500 x2
4 O 0.500 0.500 0.000 x1

Properties
The total energy is -37.6 eV for the cell shown.

***

Record 2
Below is an optimized crystal structure of MnGeNO2, with properties calculated at the PBE with a Hubbard U level.

Cell: 3.905 3.905 3.738 Å, 90.00 90.00 90.00°
Space group P4/mmm (No. 123)
Unique sites:
1 Mn 0.000 0.000 0.000 x1
2 Ge 0.500 0.500 0.500 x1
3 N 0.000 0.000 0.500 x1
4 O 0.000 0.500 0.000 x2

Properties
The total energy is -30.9 eV for the cell shown.